Entry from Alexandria: a PBEsol-optimized structure of MnGeOs3 (SCAN).

The structure belongs to space group Pm-3m (No. 221); the cell edges are 4.452, 4.452 and 4.452 Å and the angles 90.00°, 90.00° and 90.00°. Symmetry generates all atoms from Mn at (0.000, 0.000, 0.000), Ge at (0.500, 0.500, 0.500) and Os at (0.000, 0.500, 0.500).

Its crystal system is cubic. The value obtained for the density of states at the Fermi level is 0.412 states/eV per atom. Its total magnetization is 0.629 μB/atom. For the formation energy from the elements, the calculation gives 1.4687 eV/atom. The calculation puts the volume at 88 Å³ per cell.